Entry 1:
First-principles (PBE) data for a relaxed structure of Ce2PmCu2Sn2, as listed in the Alexandria database.

Computed properties:
- ΔH_f (0 K) (eV/atom) = -0.405
- E (eV/atom) = -5.093

```
data_Ce2PmCu2Sn2
_chemical_formula_sum 'Ce6 Pm3 Cu6 Sn6'
_space_group_name_H-M_alt 'R -3 m'
_space_group_IT_number 166
_space_group_name_Hall '-R 3 2"'
_cell_length_a 4.4829
_cell_length_b 4.4829
_cell_length_c 28.0842
_cell_angle_alpha 90.00
_cell_angle_beta 90.00
_cell_angle_gamma 120.00
loop_
_atom_site_label
_atom_site_type_symbol
_atom_site_fract_x
_atom_site_fract_y
_atom_site_fract_z
Ce1 Ce 0.0000 0.0000 0.1425
Pm1 Pm 0.0000 0.0000 0.0000
Cu1 Cu 0.0000 0.0000 0.4175
Sn1 Sn 0.0000 0.0000 0.2643
```


Entry 2:
First-principles (PBE) data for a relaxed structure of TbPm4Pr2Er, as listed in the Alexandria database.

Computed properties:
- ΔH_f (0 K) (eV/atom) = 0.383
- E (eV/atom) = -4.336

```
data_TbPm4Pr2Er
_chemical_formula_sum 'Tb4 Pm16 Pr8 Er4'
_space_group_name_H-M_alt 'C 1 2/c 1'
_space_group_IT_number 15
_cell_length_a 13.8061
_cell_length_b 13.3908
_cell_length_c 6.9201
_cell_angle_alpha 90.00
_cell_angle_beta 119.85
_cell_angle_gamma 90.00
loop_
_space_group_symop_operation_xyz
'x,y,z'
'-x,-y,-z'
'-x,y,-z+1/2'
'x,-y,z+1/2'
'x+1/2,y+1/2,z'
'-x+1/2,-y+1/2,-z'
'-x+1/2,y+1/2,-z+1/2'
'x+1/2,-y+1/2,z+1/2'
loop_
_atom_site_label
_atom_site_type_symbol
_atom_site_fract_x
_atom_site_fract_y
_atom_site_fract_z
Tb1 Tb 0.2500 0.2500 0.0000
Pm1 Pm 0.0018 0.2437 0.5023
Pm2 Pm 0.2456 0.0021 0.9656
Pr1 Pr 0.0000 0.5000 0.0000
Pr2 Pr 0.2500 0.2500 0.5000
Er1 Er 0.0000 0.0000 0.0000
```


Entry 3:
First-principles (PBE) data for a relaxed structure of BaVCu2Au, as listed in the Alexandria database.

Computed properties:
- ΔH_f (0 K) (eV/atom) = 1.870
- E (eV/atom) = -2.632

```
data_BaVCu2Au
_chemical_formula_sum 'Ba1 V1 Cu2 Au1'
_space_group_name_H-M_alt 'P 4/m m m'
_space_group_IT_number 123
_space_group_name_Hall '-P 4 2'
_cell_length_a 5.3216
_cell_length_b 5.3216
_cell_length_c 5.8257
_cell_angle_alpha 90.00
_cell_angle_beta 90.00
_cell_angle_gamma 90.00
loop_
_atom_site_label
_atom_site_type_symbol
_atom_site_fract_x
_atom_site_fract_y
_atom_site_fract_z
Ba1 Ba 0.0000 0.0000 0.0000
V1 V 0.0000 0.0000 0.5000
Cu1 Cu 0.0000 0.5000 0.0000
Au1 Au 0.5000 0.5000 0.5000
```


Entry 4:
First-principles (PBE) data for a relaxed structure of BaNa4Sr2, as listed in the Alexandria database.

Computed properties:
- ΔH_f (0 K) (eV/atom) = 0.064
- E (eV/atom) = -1.445
- polymorph energy (0 for the lowest one) (meV per atom) = 0.0

```
data_BaNa4Sr2
_chemical_formula_sum 'Ba2 Na8 Sr4'
_space_group_name_H-M_alt 'C m m m'
_space_group_IT_number 65
_space_group_name_Hall '-C 2 2'
_cell_length_a 6.5677
_cell_length_b 24.8781
_cell_length_c 4.0654
_cell_angle_alpha 90.00
_cell_angle_beta 90.00
_cell_angle_gamma 90.00
loop_
_atom_site_label
_atom_site_type_symbol
_atom_site_fract_x
_atom_site_fract_y
_atom_site_fract_z
Ba1 Ba 0.0000 0.0000 0.0000
Na1 Na 0.0000 0.1590 0.5000
Na2 Na 0.0000 0.2829 0.0000
Sr1 Sr 0.0000 0.4194 0.5000
```